No. 1
# GGA-PBE CuAg2Br2Cl, optimized geometry
data_CuAg2Br2Cl
_space_group_name_H-M_alt 'P 1'
_space_group_IT_number 1
_space_group_name_Hall 'P 1'
_cell_length_a 6.833
_cell_length_b 7.368
_cell_length_c 7.452
_cell_angle_alpha 119.63
_cell_angle_beta 90.00
_cell_angle_gamma 90.00
loop_
_atom_site_label
_atom_site_type_symbol
_atom_site_fract_x
_atom_site_fract_y
_atom_site_fract_z
_atom_site_occupancy
Cu1 Cu 0.670 0.855 0.000 1
Cl1 Cl 0.330 0.863 0.000 1
Ag1 Ag 0.194 0.835 0.319 1
Br1 Br 0.292 0.164 0.695 1
Cl2 Cl 0.830 0.137 0.000 1
Br2 Br 0.792 0.836 0.305 1
Ag2 Ag 0.694 0.165 0.681 1
Br3 Br 0.792 0.531 0.695 1
Ag3 Ag 0.194 0.516 0.681 1
Br4 Br 0.292 0.469 0.305 1
Cu2 Cu 0.170 0.145 0.000 1
Ag4 Ag 0.694 0.484 0.319 1
# Energy relative to the elements, uncorrected, meV per atom: -344
# Magnetic moment, μB per atom: 0.00
# V, Å³/f.u.: 163

No. 2
# GGA-PBE Ag3BrClF, optimized geometry
data_Ag3BrClF
_space_group_name_H-M_alt 'P 1'
_space_group_IT_number 1
_space_group_name_Hall 'P 1'
_cell_length_a 3.983
_cell_length_b 9.589
_cell_length_c 7.366
_cell_angle_alpha 97.50
_cell_angle_beta 90.00
_cell_angle_gamma 90.00
loop_
_atom_site_label
_atom_site_type_symbol
_atom_site_fract_x
_atom_site_fract_y
_atom_site_fract_z
_atom_site_occupancy
Br1 Br 0.250 0.257 0.280 1
Ag1 Ag 0.250 0.548 0.812 1
Ag2 Ag 0.750 0.452 0.188 1
Ag3 Ag 0.250 0.119 0.963 1
Cl1 Cl 0.250 0.641 0.191 1
Cl2 Cl 0.750 0.359 0.809 1
Ag4 Ag 0.750 0.881 0.037 1
Ag5 Ag 0.750 0.164 0.529 1
F1 F 0.250 0.051 0.674 1
Br2 Br 0.750 0.743 0.720 1
F2 F 0.750 0.949 0.326 1
Ag6 Ag 0.250 0.836 0.471 1
# Energy relative to the elements, uncorrected, meV per atom: -556
# Magnetic moment, μB per atom: 0.00
# V, Å³/f.u.: 139

No. 3
# GGA-PBE Ag6Br2Cl2F, optimized geometry
data_Ag6Br2Cl2F
_space_group_name_H-M_alt 'P 1'
_space_group_IT_number 1
_space_group_name_Hall 'P 1'
_cell_length_a 6.770
_cell_length_b 6.721
_cell_length_c 7.503
_cell_angle_alpha 112.07
_cell_angle_beta 90.00
_cell_angle_gamma 120.24
loop_
_atom_site_label
_atom_site_type_symbol
_atom_site_fract_x
_atom_site_fract_y
_atom_site_fract_z
_atom_site_occupancy
Ag1 Ag 0.404 0.240 0.831 1
Ag2 Ag 0.836 0.240 0.831 1
Ag3 Ag 0.596 0.760 0.169 1
Cl1 Cl 0.955 0.910 0.725 1
Ag4 Ag 0.164 0.760 0.169 1
Ag5 Ag 0.283 0.565 0.414 1
Ag6 Ag 0.717 0.435 0.586 1
Br1 Br 0.692 0.384 0.180 1
F1 F 0.500 0.000 0.500 1
Br2 Br 0.308 0.616 0.820 1
Cl2 Cl 0.045 0.090 0.275 1
# Energy relative to the elements, uncorrected, meV per atom: -316
# Magnetic moment, μB per atom: 0.00
# V, Å³/f.u.: 266

No. 4
# GGA-PBE Ag6BrCl2F2, optimized geometry
data_Ag6BrCl2F2
_space_group_name_H-M_alt 'P 1'
_space_group_IT_number 1
_space_group_name_Hall 'P 1'
_cell_length_a 6.015
_cell_length_b 6.832
_cell_length_c 7.099
_cell_angle_alpha 115.20
_cell_angle_beta 90.00
_cell_angle_gamma 116.11
loop_
_atom_site_label
_atom_site_type_symbol
_atom_site_fract_x
_atom_site_fract_y
_atom_site_fract_z
_atom_site_occupancy
Ag1 Ag 0.758 0.516 0.698 1
Cl1 Cl 0.709 0.418 0.257 1
Br1 Br 0.500 0.000 0.500 1
F1 F 0.960 0.920 0.765 1
Ag2 Ag 0.629 0.763 0.110 1
Ag3 Ag 0.371 0.237 0.890 1
F2 F 0.040 0.080 0.235 1
Ag4 Ag 0.135 0.763 0.110 1
Ag5 Ag 0.242 0.484 0.302 1
Ag6 Ag 0.865 0.237 0.890 1
Cl2 Cl 0.291 0.582 0.743 1
# Energy relative to the elements, uncorrected, meV per atom: -475
# Magnetic moment, μB per atom: 0.00
# V, Å³/f.u.: 231

No. 5
# GGA-PBE Ag4Br2ClF2, optimized geometry
data_Ag4Br2ClF2
_space_group_name_H-M_alt 'P 1'
_space_group_IT_number 1
_space_group_name_Hall 'P 1'
_cell_length_a 3.748
_cell_length_b 8.465
_cell_length_c 9.549
_cell_angle_alpha 134.32
_cell_angle_beta 90.00
_cell_angle_gamma 102.79
loop_
_atom_site_label
_atom_site_type_symbol
_atom_site_fract_x
_atom_site_fract_y
_atom_site_fract_z
_atom_site_occupancy
Br1 Br 0.151 0.303 0.547 1
F1 F 0.345 0.690 0.053 1
Ag1 Ag 0.244 0.489 0.159 1
F2 F 0.655 0.310 0.947 1
Ag2 Ag 0.756 0.511 0.841 1
Br2 Br 0.849 0.697 0.453 1
Ag3 Ag 0.549 0.098 0.255 1
Ag4 Ag 0.451 0.902 0.745 1
Cl1 Cl 0.000 0.000 0.000 1
# Energy relative to the elements, uncorrected, meV per atom: -641
# Magnetic moment, μB per atom: 0.00
# V, Å³/f.u.: 206

No. 6
# GGA-PBE Ag4Br2ClF, optimized geometry
data_Ag4Br2ClF
_space_group_name_H-M_alt 'P 1'
_space_group_IT_number 1
_space_group_name_Hall 'P 1'
_cell_length_a 7.879
_cell_length_b 7.879
_cell_length_c 7.872
_cell_angle_alpha 119.92
_cell_angle_beta 119.92
_cell_angle_gamma 89.06
loop_
_atom_site_label
_atom_site_type_symbol
_atom_site_fract_x
_atom_site_fract_y
_atom_site_fract_z
_atom_site_occupancy
Ag1 Ag 0.262 0.726 0.494 1
F1 F 0.000 0.000 0.000 1
Br1 Br 0.500 0.000 0.000 1
Ag2 Ag 0.247 0.254 0.479 1
Ag3 Ag 0.246 0.253 0.021 1
Ag4 Ag 0.753 0.746 0.521 1
Ag5 Ag 0.226 0.762 0.994 1
Br2 Br 0.500 0.500 0.000 1
Cl1 Cl 0.000 0.500 0.000 1
Ag6 Ag 0.774 0.238 0.006 1
Br3 Br 0.500 0.000 0.500 1
Br4 Br 0.000 0.000 0.500 1
F2 F 0.500 0.500 0.500 1
Ag7 Ag 0.738 0.274 0.506 1
Ag8 Ag 0.754 0.747 0.979 1
Cl2 Cl 0.000 0.500 0.500 1
# Energy relative to the elements, uncorrected, meV per atom: -480
# Magnetic moment, μB per atom: 0.00
# V, Å³/f.u.: 175

No. 7
# GGA-PBE Fe2AgBr6Cl2, optimized geometry
data_Fe2AgBr6Cl2
_space_group_name_H-M_alt 'P 1'
_space_group_IT_number 1
_space_group_name_Hall 'P 1'
_cell_length_a 6.812
_cell_length_b 6.812
_cell_length_c 9.436
_cell_angle_alpha 90.00
_cell_angle_beta 90.00
_cell_angle_gamma 120.00
loop_
_atom_site_label
_atom_site_type_symbol
_atom_site_fract_x
_atom_site_fract_y
_atom_site_fract_z
_atom_site_occupancy
Cl1 Cl 0.667 0.333 0.483 1
Br1 Br 0.326 0.335 0.824 1
Br2 Br 0.674 0.665 0.176 1
Br3 Br 0.665 0.991 0.824 1
Br4 Br 0.991 0.326 0.176 1
Br5 Br 0.009 0.674 0.824 1
Fe1 Fe 0.333 0.667 0.744 1
Cl2 Cl 0.333 0.667 0.517 1
Ag1 Ag 0.000 0.000 0.000 1
Fe2 Fe 0.667 0.333 0.256 1
Br6 Br 0.335 0.009 0.176 1
# Energy relative to the elements, uncorrected, meV per atom: -452
# Magnetic moment, μB per atom: 0.82
# V, Å³/f.u.: 379

No. 8
# GGA-PBE AgHBrCl, optimized geometry
data_AgHBrCl
_space_group_name_H-M_alt 'P 1'
_space_group_IT_number 1
_space_group_name_Hall 'P 1'
_cell_length_a 3.928
_cell_length_b 3.965
_cell_length_c 8.418
_cell_angle_alpha 126.52
_cell_angle_beta 90.00
_cell_angle_gamma 90.00
loop_
_atom_site_label
_atom_site_type_symbol
_atom_site_fract_x
_atom_site_fract_y
_atom_site_fract_z
_atom_site_occupancy
Cl1 Cl 0.000 0.111 0.763 1
Ag1 Ag 0.000 0.703 0.324 1
H1 H 0.000 0.516 0.878 1
Br1 Br 0.500 0.129 0.268 1
# Magnetic moment, μB per atom: 0.00
# DFT total energy, eV/cell: -11.15
# V, Å³/f.u.: 105

No. 9
# GGA-PBE HfAg3Br6Cl2, optimized geometry
data_HfAg3Br6Cl2
_space_group_name_H-M_alt 'P 1'
_space_group_IT_number 1
_space_group_name_Hall 'P 1'
_cell_length_a 6.561
_cell_length_b 7.957
_cell_length_c 7.987
_cell_angle_alpha 119.88
_cell_angle_beta 101.79
_cell_angle_gamma 90.00
loop_
_atom_site_label
_atom_site_type_symbol
_atom_site_fract_x
_atom_site_fract_y
_atom_site_fract_z
_atom_site_occupancy
Ag1 Ag 0.500 0.500 0.500 1
Cl1 Cl 0.731 0.345 0.689 1
Br1 Br 0.738 0.866 0.206 1
Br2 Br 0.738 0.339 0.206 1
Br3 Br 0.262 0.661 0.794 1
Br4 Br 0.262 0.134 0.794 1
Ag2 Ag 0.500 0.000 0.500 1
Ag3 Ag 0.000 0.500 0.000 1
Br5 Br 0.251 0.123 0.246 1
Hf1 Hf 0.500 0.000 0.000 1
Cl2 Cl 0.269 0.655 0.311 1
Br6 Br 0.749 0.877 0.754 1
# Energy relative to the elements, uncorrected, meV per atom: -759
# Magnetic moment, μB per atom: 0.00
# V, Å³/f.u.: 351

No. 10
# GGA-PBE AgHgBr2Cl, optimized geometry
data_AgHgBr2Cl
_space_group_name_H-M_alt 'P 1'
_space_group_IT_number 1
_space_group_name_Hall 'P 1'
_cell_length_a 4.739
_cell_length_b 6.938
_cell_length_c 10.333
_cell_angle_alpha 74.13
_cell_angle_beta 90.00
_cell_angle_gamma 90.00
loop_
_atom_site_label
_atom_site_type_symbol
_atom_site_fract_x
_atom_site_fract_y
_atom_site_fract_z
_atom_site_occupancy
Ag1 Ag 0.750 0.391 0.468 1
Br1 Br 0.250 0.208 0.532 1
Br2 Br 0.750 0.792 0.468 1
Hg1 Hg 0.250 0.246 0.987 1
Cl1 Cl 0.250 0.924 0.145 1
Ag2 Ag 0.250 0.609 0.532 1
Br3 Br 0.250 0.590 0.830 1
Br4 Br 0.750 0.410 0.170 1
Cl2 Cl 0.750 0.076 0.855 1
Hg2 Hg 0.750 0.754 0.013 1
# Energy relative to the elements, uncorrected, meV per atom: -411
# Magnetic moment, μB per atom: 0.00
# V, Å³/f.u.: 163